# YVTe3 (PBE, optimized geometry)
data_YVTe3
_chemical_formula_sum 'Y1 V1 Te3'
_cell_length_a 5.288
_cell_length_b 5.288
_cell_length_c 5.288
_cell_angle_alpha 90.00
_cell_angle_beta 90.00
_cell_angle_gamma 90.00
_symmetry_space_group_name_H-M 'P m -3 m'
_symmetry_Int_Tables_number 221
_symmetry_space_group_name_Hall '-P 4 2 3'
loop_
_atom_site_label
_atom_site_type_symbol
_atom_site_fract_x
_atom_site_fract_y
_atom_site_fract_z
Y1 Y 0.000 0.000 0.000
V1 V 0.500 0.500 0.500
Te1 Te 0.000 0.500 0.500
# Total energy (eV/f.u.): -26.14
# E above lowest polymorph (meV/atom): 0
# Uncorrected formation energy (eV per atom): -0.226

# YReS2 (PBE, optimized geometry)
data_YReS2
_chemical_formula_sum 'Y3 Re3 S6'
_cell_length_a 3.4271
_cell_length_b 3.4271
_cell_length_c 24.5312
_cell_angle_alpha 90.00
_cell_angle_beta 90.00
_cell_angle_gamma 120.00
_symmetry_space_group_name_H-M 'R -3 m'
_symmetry_Int_Tables_number 166
_symmetry_space_group_name_Hall '-R 3 2"'
loop_
_atom_site_label
_atom_site_type_symbol
_atom_site_fract_x
_atom_site_fract_y
_atom_site_fract_z
Y1 Y 0.0000 0.0000 0.0000
Re1 Re 0.0000 0.0000 0.5000
S1 S 0.0000 0.0000 0.4074
# Total energy (eV/f.u.): -27.90
# E above lowest polymorph (meV/atom): 411
# Uncorrected formation energy (eV per atom): -0.184

# Pu3Mn5Ge2 (PBE, optimized geometry)
data_Pu3Mn5Ge2
_chemical_formula_sum 'Pu12 Mn20 Ge8'
_cell_length_a 10.879
_cell_length_b 11.858
_cell_length_c 5.551
_cell_angle_alpha 90.00
_cell_angle_beta 90.00
_cell_angle_gamma 90.00
_symmetry_space_group_name_H-M 'I b a m'
_symmetry_Int_Tables_number 72
_symmetry_space_group_name_Hall '-I 2 2c'
loop_
_atom_site_label
_atom_site_type_symbol
_atom_site_fract_x
_atom_site_fract_y
_atom_site_fract_z
Pu1 Pu 0.000 0.000 0.250
Pu2 Pu 0.229 0.391 0.000
Mn1 Mn 0.000 0.256 0.250
Mn2 Mn 0.000 0.500 0.250
Mn3 Mn 0.109 0.380 0.500
Ge1 Ge 0.167 0.151 0.000
# Total energy (eV/f.u.): -97.80
# Formation enthalpy at 0 K (meV per atom): 27

# Ni2BPdCl (PBE, optimized geometry)
data_Ni2BPdCl
_chemical_formula_sum 'Ni2 B1 Pd1 Cl1'
_cell_length_a 4.078
_cell_length_b 4.078
_cell_length_c 4.656
_cell_angle_alpha 90.00
_cell_angle_beta 90.00
_cell_angle_gamma 90.00
_symmetry_space_group_name_H-M 'P 4/m m m'
_symmetry_Int_Tables_number 123
_symmetry_space_group_name_Hall '-P 4 2'
loop_
_atom_site_label
_atom_site_type_symbol
_atom_site_fract_x
_atom_site_fract_y
_atom_site_fract_z
Ni1 Ni 0.000 0.500 0.000
B1 B 0.000 0.000 0.500
Pd1 Pd 0.500 0.500 0.500
Cl1 Cl 0.500 0.500 0.000
# Total energy (eV/f.u.): -19.02
# Uncorrected formation energy (eV per atom): 1.251

# Ir2AuBr (PBE, optimized geometry)
data_Ir2AuBr
_chemical_formula_sum 'Ir8 Au4 Br4'
_cell_length_a 7.201
_cell_length_b 7.201
_cell_length_c 5.531
_cell_angle_alpha 90.00
_cell_angle_beta 90.00
_cell_angle_gamma 90.00
_symmetry_space_group_name_H-M 'I -4 2 d'
_symmetry_Int_Tables_number 122
_symmetry_space_group_name_Hall 'I -4 2bw'
loop_
_atom_site_label
_atom_site_type_symbol
_atom_site_fract_x
_atom_site_fract_y
_atom_site_fract_z
Ir1 Ir 0.221 0.750 0.125
Au1 Au 0.000 0.000 0.500
Br1 Br 0.000 0.000 0.000
# Total energy (eV/f.u.): -18.09
# E above lowest polymorph (meV/atom): 690
# Uncorrected formation energy (eV per atom): 1.144

# Rb3NdPu2S6 (PBE, optimized geometry)
data_Rb3NdPu2S6
_chemical_formula_sum 'Rb6 Nd2 Pu4 S12'
_cell_length_a 7.227
_cell_length_b 12.517
_cell_length_c 8.044
_cell_angle_alpha 90.00
_cell_angle_beta 107.43
_cell_angle_gamma 90.00
_symmetry_space_group_name_H-M 'C 1 2/m 1'
_symmetry_Int_Tables_number 12
loop_
_symmetry_equiv_pos_as_xyz
'x,y,z'
'-x,-y,-z'
'-x,y,-z'
'x,-y,z'
'x+1/2,y+1/2,z'
'-x+1/2,-y+1/2,-z'
'-x+1/2,y+1/2,-z'
'x+1/2,-y+1/2,z'
loop_
_atom_site_label
_atom_site_type_symbol
_atom_site_fract_x
_atom_site_fract_y
_atom_site_fract_z
Rb1 Rb 0.000 0.000 0.000
Rb2 Rb 0.000 0.334 0.000
Nd1 Nd 0.000 0.500 0.500
Pu1 Pu 0.000 0.167 0.500
S1 S 0.224 0.000 0.693
S2 S 0.235 0.330 0.693
# Total energy (eV/f.u.): -80.76
# Uncorrected formation energy (eV per atom): -1.638

# TbPmPu2As4 (PBE, optimized geometry)
data_TbPmPu2As4
_chemical_formula_sum 'Tb1 Pm1 Pu2 As4'
_cell_length_a 7.182
_cell_length_b 4.168
_cell_length_c 7.216
_cell_angle_alpha 90.00
_cell_angle_beta 109.57
_cell_angle_gamma 90.00
_symmetry_space_group_name_H-M 'P 1 2/m 1'
_symmetry_Int_Tables_number 10
loop_
_symmetry_equiv_pos_as_xyz
'x,y,z'
'-x,-y,-z'
'-x,y,-z'
'x,-y,z'
loop_
_atom_site_label
_atom_site_type_symbol
_atom_site_fract_x
_atom_site_fract_y
_atom_site_fract_z
Tb1 Tb 0.000 0.000 0.000
Pm1 Pm 0.000 0.500 0.500
Pu1 Pu 0.500 0.000 0.500
Pu2 Pu 0.500 0.500 0.000
As1 As 0.256 0.500 0.249
As2 As 0.258 0.000 0.756
# Total energy (eV/f.u.): -66.83
# Formation enthalpy at 0 K (meV per atom): -1274

# SmIn6Sn (PBE, optimized geometry)
data_SmIn6Sn
_chemical_formula_sum 'Sm1 In6 Sn1'
_cell_length_a 6.875
_cell_length_b 6.875
_cell_length_c 4.484
_cell_angle_alpha 90.00
_cell_angle_beta 90.00
_cell_angle_gamma 90.00
_symmetry_space_group_name_H-M 'P 4/m m m'
_symmetry_Int_Tables_number 123
_symmetry_space_group_name_Hall '-P 4 2'
loop_
_atom_site_label
_atom_site_type_symbol
_atom_site_fract_x
_atom_site_fract_y
_atom_site_fract_z
Sm1 Sm 0.000 0.000 0.000
In1 In 0.000 0.500 0.000
In2 In 0.254 0.254 0.500
Sn1 Sn 0.500 0.500 0.000
# Total energy (eV/f.u.): -26.41
# Formation enthalpy at 0 K (meV per atom): -157